Bi6WO12 | PBE with a Hubbard U | optimized geometry

POSCAR file:
```
Bi6WO12
1.0
5.225 3.017 3.162
-5.225 3.017 3.162
0.000 -6.033 3.162
Bi W O
6 1 12
direct
0.087 0.800 0.646
0.200 0.354 0.913
0.354 0.913 0.200
0.646 0.087 0.800
0.800 0.646 0.087
0.913 0.200 0.354
0.500 0.500 0.500
0.060 0.684 0.930
0.070 0.940 0.316
0.213 0.421 0.518
0.316 0.070 0.940
0.421 0.518 0.213
0.482 0.787 0.579
0.518 0.213 0.421
0.579 0.482 0.787
0.684 0.930 0.060
0.787 0.579 0.482
0.930 0.060 0.684
0.940 0.316 0.070
```

Energy: -6.17 eV per atom
Total moment: 0.00 Bohr magnetons per cell